No. 1
Crystalline BeHgF2 at its relaxed geometry. Source: the Alexandria database, functional GGA-PBE.

Values from the calculation:
As for the space group: Fm-3m. The value obtained for the formation energy without anion corrections is -476 meV/atom. The theoretical density comes out at 7.42 Mg/m³. The calculation puts the magnetic moment at 0.00 μB/atom. The energy relative to the lowest polymorph listed for this composition comes out at 1.7302 eV/atom.

extended XYZ file:
```
4
Lattice="0.0000 3.0263 3.0263 3.0263 0.0000 3.0263 3.0263 3.0263 0.0000" Properties=species:S:1:pos:R:3 pbc="T T T"
Be 0.0000 0.0000 0.0000
Hg 3.0263 3.0263 3.0263
F 1.5132 1.5132 1.5132
F 4.5395 4.5395 4.5395
```

No. 2
Crystalline BeHg3F at its relaxed geometry. Source: the Alexandria database, functional GGA-PBE.

Values from the calculation:
As for the space group: Pm-3m. The value obtained for the formation energy without anion corrections is -219 meV/atom. The theoretical density comes out at 9.67 Mg/m³. The calculation puts the magnetic moment at 0.00 μB/atom. The energy relative to the lowest polymorph listed for this composition comes out at 0.0000 eV/atom.

extended XYZ file:
```
5
Lattice="4.7644 0.0000 0.0000 0.0000 4.7644 0.0000 0.0000 0.0000 4.7644" Properties=species:S:1:pos:R:3 pbc="T T T"
Be 0.0000 0.0000 0.0000
Hg 0.0000 2.3822 0.0000
Hg 0.0000 0.0000 2.3822
Hg 2.3822 0.0000 0.0000
F 2.3822 2.3822 2.3822
```

No. 3
Crystalline BeHg2F at its relaxed geometry. Source: the Alexandria database, functional GGA-PBE.

Values from the calculation:
As for the space group: Fm-3m. The value obtained for the formation energy without anion corrections is -104 meV/atom. The theoretical density comes out at 10.50 Mg/m³. The calculation puts the magnetic moment at 0.00 μB/atom. The energy relative to the lowest polymorph listed for this composition comes out at 0.1533 eV/atom.

extended XYZ file:
```
4
Lattice="0.0000 3.2371 3.2371 3.2371 0.0000 3.2371 3.2371 3.2371 0.0000" Properties=species:S:1:pos:R:3 pbc="T T T"
Be 0.0000 0.0000 0.0000
Hg 1.6186 1.6186 1.6186
Hg 4.8557 4.8557 4.8557
F 3.2371 3.2371 3.2371
```